This record from Alexandria describes a relaxed CuNiBi4 crystal. The functional is PBE-GGA.

Unit cell a=9.5547 b=9.5545 c=7.9921 alpha=90.00 beta=126.49 gamma=90.00
Space group C2/m (No. 12)
One atom of each set of equivalent atoms:
Cu 0.0000 0.2500 0.0000
Ni 0.2500 0.2500 0.5000
Bi 0.0486 0.0000 0.2547
Bi 0.1225 0.3289 0.7453
Bi 0.2064 0.5000 0.2546

Results
The calculation puts the calculated total energy at -98.2 eV/cell. For the calculated density, the calculation gives 10850 kg/m³. For the formation energy from the elements, the calculation gives 0.143 eV/atom. The total magnetic moment is 0.00 μB per formula unit. Its volume is 586.6 Å³/cell.